Material: TbSbMo2O9
Method: DFT, GGA-PBEsol
State: optimized geometry

## Properties
Formation energy (no corrections)   -2.24 eV/atom
E_tot   -875.38 eV for the cell shown

```
data_TbSbMo2O9
_symmetry_space_group_name_H-M 'C 1 2/c 1'
_symmetry_Int_Tables_number 15
_cell_length_a 12.876
_cell_length_b 14.083
_cell_length_c 10.698
_cell_angle_alpha 90.00
_cell_angle_beta 124.12
_cell_angle_gamma 90.00
loop_
_symmetry_equiv_pos_as_xyz
'x,y,z'
'-x,-y,-z'
'-x,y,-z+1/2'
'x,-y,z+1/2'
'x+1/2,y+1/2,z'
'-x+1/2,-y+1/2,-z'
'-x+1/2,y+1/2,-z+1/2'
'x+1/2,-y+1/2,z+1/2'
loop_
_atom_site_label
_atom_site_fract_x
_atom_site_fract_y
_atom_site_fract_z
_atom_site_occupancy
Tb1 0.000 0.125 0.250 1
Tb2 0.000 0.329 0.750 1
Sb1 0.137 0.482 0.536 1
Mo1 0.154 0.106 0.029 1
Mo2 0.246 0.190 0.696 1
O1 0.019 0.442 0.602 1
O2 0.081 0.014 0.901 1
O3 0.083 0.213 0.934 1
O4 0.118 0.261 0.273 1
O5 0.137 0.087 0.179 1
O6 0.139 0.166 0.504 1
O7 0.179 0.271 0.755 1
O8 0.187 0.409 0.923 1
O9 0.214 0.421 0.202 1
```

Material: YSbMo2O9
Method: DFT, GGA-PBEsol
State: optimized geometry

## Properties
Formation energy (no corrections)   -2.23 eV/atom
E_tot   -889.63 eV for the cell shown

```
data_YSbMo2O9
_symmetry_space_group_name_H-M 'C 1 2/c 1'
_symmetry_Int_Tables_number 15
_cell_length_a 12.859
_cell_length_b 14.048
_cell_length_c 10.669
_cell_angle_alpha 90.00
_cell_angle_beta 124.12
_cell_angle_gamma 90.00
loop_
_symmetry_equiv_pos_as_xyz
'x,y,z'
'-x,-y,-z'
'-x,y,-z+1/2'
'x,-y,z+1/2'
'x+1/2,y+1/2,z'
'-x+1/2,-y+1/2,-z'
'-x+1/2,y+1/2,-z+1/2'
'x+1/2,-y+1/2,z+1/2'
loop_
_atom_site_label
_atom_site_fract_x
_atom_site_fract_y
_atom_site_fract_z
_atom_site_occupancy
Y1 0.000 0.126 0.250 1
Y2 0.000 0.329 0.750 1
Sb1 0.137 0.481 0.535 1
Mo1 0.154 0.107 0.029 1
Mo2 0.246 0.189 0.695 1
O1 0.019 0.441 0.603 1
O2 0.081 0.014 0.901 1
O3 0.083 0.214 0.933 1
O4 0.117 0.262 0.272 1
O5 0.136 0.088 0.179 1
O6 0.139 0.166 0.503 1
O7 0.179 0.271 0.755 1
O8 0.187 0.409 0.923 1
O9 0.215 0.422 0.203 1
```

Material: MoSeO3
Method: DFT, GGA-PBEsol
State: optimized geometry

## Properties
Formation energy (no corrections)   -0.87 eV/atom
E_tot   -35.72 eV for the cell shown

```
data_MoSeO3
_symmetry_space_group_name_H-M 'P m -3 m'
_symmetry_Int_Tables_number 221
_symmetry_space_group_name_Hall '-P 4 2 3'
_cell_length_a 3.911
_cell_length_b 3.911
_cell_length_c 3.911
_cell_angle_alpha 90.00
_cell_angle_beta 90.00
_cell_angle_gamma 90.00
loop_
_atom_site_label
_atom_site_fract_x
_atom_site_fract_y
_atom_site_fract_z
_atom_site_occupancy
Mo1 0.000 0.000 0.000 1
Se1 0.500 0.500 0.500 1
O1 0.000 0.000 0.500 1
```

Material: SrMo2Se2O11
Method: DFT, GGA-PBEsol
State: optimized geometry

## Properties
Formation energy (no corrections)   -1.73 eV/atom
E_tot   -237.10 eV for the cell shown

```
data_SrMo2Se2O11
_symmetry_space_group_name_H-M 'P -1'
_symmetry_Int_Tables_number 2
_cell_length_a 7.854
_cell_length_b 8.126
_cell_length_c 8.806
_cell_angle_alpha 83.44
_cell_angle_beta 66.29
_cell_angle_gamma 66.75
loop_
_symmetry_equiv_pos_as_xyz
'x,y,z'
'-x,-y,-z'
loop_
_atom_site_label
_atom_site_fract_x
_atom_site_fract_y
_atom_site_fract_z
_atom_site_occupancy
Sr1 0.073 0.225 0.477 1
Mo1 0.219 0.968 0.051 1
Mo2 0.223 0.376 0.808 1
Se1 0.258 0.550 0.147 1
Se2 0.263 0.771 0.688 1
O1 0.098 0.521 0.064 1
O2 0.103 0.906 0.874 1
O3 0.123 0.781 0.196 1
O4 0.134 0.630 0.717 1
O5 0.174 0.482 0.340 1
O6 0.184 0.897 0.548 1
O7 0.230 0.170 0.926 1
O8 0.253 0.035 0.211 1
O9 0.266 0.284 0.624 1
O10 0.443 0.393 0.785 1
O11 0.443 0.803 0.935 1
```